Record 1
# LiCa2Zr, relaxed, DFT PBE
# Fermi-level density of states	16.52	states/eV per cell
# calculated total energy	-3.35	eV per atom
# excess energy over the best structure of this formula in the dataset	27	meV/atom
# total moment	0.1	μB/f.u.
# ΔE_f	270	meV/atom
data_LiCa2Zr
_chemical_formula_sum 'Li3 Ca6 Zr3'
_symmetry_space_group_name_H-M 'R -3 m'
_symmetry_Int_Tables_number 166
_symmetry_space_group_name_Hall '-R 3 2"'
_cell_length_a 3.4864
_cell_length_b 3.4864
_cell_length_c 34.0079
_cell_angle_alpha 90.00
_cell_angle_beta 90.00
_cell_angle_gamma 120.00
loop_
_atom_site_label
_atom_site_type_symbol
_atom_site_fract_x
_atom_site_fract_y
_atom_site_fract_z
Li1 Li 0.0000 0.0000 0.0000
Ca1 Ca 0.0000 0.0000 0.2483
Zr1 Zr 0.0000 0.0000 0.5000

=====

Record 2
# LiCa2Zr, relaxed, DFT PBE
# Fermi-level density of states	4.37	states/eV per cell
# calculated total energy	-3.37	eV per atom
# excess energy over the best structure of this formula in the dataset	0	meV/atom
# total moment	0.0	μB/f.u.
# ΔE_f	243	meV/atom
data_LiCa2Zr
_chemical_formula_sum 'Li1 Ca2 Zr1'
_symmetry_space_group_name_H-M 'P 4/m m m'
_symmetry_Int_Tables_number 123
_symmetry_space_group_name_Hall '-P 4 2'
_cell_length_a 3.4445
_cell_length_b 3.4445
_cell_length_c 10.0444
_cell_angle_alpha 90.00
_cell_angle_beta 90.00
_cell_angle_gamma 90.00
loop_
_atom_site_label
_atom_site_type_symbol
_atom_site_fract_x
_atom_site_fract_y
_atom_site_fract_z
Li1 Li 0.0000 0.0000 0.0000
Ca1 Ca 0.5000 0.5000 0.2545
Zr1 Zr 0.0000 0.0000 0.5000

=====

Record 3
# LiCa2Zr, relaxed, DFT PBE
# Fermi-level density of states	5.99	states/eV per cell
# calculated total energy	-3.34	eV per atom
# excess energy over the best structure of this formula in the dataset	33	meV/atom
# total moment	0.0	μB/f.u.
# ΔE_f	276	meV/atom
data_LiCa2Zr
_chemical_formula_sum 'Li1 Ca2 Zr1'
_symmetry_space_group_name_H-M 'P 4 m m'
_symmetry_Int_Tables_number 99
_symmetry_space_group_name_Hall 'P 4 -2'
_cell_length_a 3.5042
_cell_length_b 3.5042
_cell_length_c 9.4140
_cell_angle_alpha 90.00
_cell_angle_beta 90.00
_cell_angle_gamma 90.00
loop_
_atom_site_label
_atom_site_type_symbol
_atom_site_fract_x
_atom_site_fract_y
_atom_site_fract_z
Li1 Li 0.0000 0.0000 0.0000
Ca1 Ca 0.0000 0.0000 0.4387
Ca2 Ca 0.5000 0.5000 0.7731
Zr1 Zr 0.5000 0.5000 0.1789

=====

Record 4
# LiCaZr, relaxed, DFT PBE
# Fermi-level density of states	11.50	states/eV per cell
# calculated total energy	-3.63	eV per atom
# excess energy over the best structure of this formula in the dataset	197	meV/atom
# total moment	0.0	μB/f.u.
# ΔE_f	527	meV/atom
data_LiCaZr
_chemical_formula_sum 'Li4 Ca4 Zr4'
_symmetry_space_group_name_H-M 'C 1 2/m 1'
_symmetry_Int_Tables_number 12
_symmetry_space_group_name_Hall '-C 2y'
_cell_length_a 7.6067
_cell_length_b 4.3781
_cell_length_c 10.5755
_cell_angle_alpha 90.00
_cell_angle_beta 103.85
_cell_angle_gamma 90.00
loop_
_atom_site_label
_atom_site_type_symbol
_atom_site_fract_x
_atom_site_fract_y
_atom_site_fract_z
Li1 Li 0.1653 0.0000 0.4956
Ca1 Ca 0.2142 0.5000 0.1450
Zr1 Zr 0.0437 0.5000 0.6307

=====

Record 5
# LiCaZr3, relaxed, DFT PBE
# Fermi-level density of states	10.02	states/eV per cell
# calculated total energy	-5.17	eV per atom
# excess energy over the best structure of this formula in the dataset	0	meV/atom
# total moment	0.0	μB/f.u.
# ΔE_f	739	meV/atom
data_LiCaZr3
_chemical_formula_sum 'Li1 Ca1 Zr3'
_symmetry_space_group_name_H-M 'P m -3 m'
_symmetry_Int_Tables_number 221
_symmetry_space_group_name_Hall '-P 4 2 3'
_cell_length_a 4.9878
_cell_length_b 4.9878
_cell_length_c 4.9878
_cell_angle_alpha 90.00
_cell_angle_beta 90.00
_cell_angle_gamma 90.00
loop_
_atom_site_label
_atom_site_type_symbol
_atom_site_fract_x
_atom_site_fract_y
_atom_site_fract_z
Li1 Li 0.0000 0.0000 0.0000
Ca1 Ca 0.5000 0.5000 0.5000
Zr1 Zr 0.0000 0.0000 0.5000

=====

Record 6
# LiCa2Zr, relaxed, DFT PBE
# Fermi-level density of states	8.25	states/eV per cell
# calculated total energy	-3.21	eV per atom
# excess energy over the best structure of this formula in the dataset	162	meV/atom
# total moment	1.7	μB/f.u.
# ΔE_f	405	meV/atom
data_LiCa2Zr
_chemical_formula_sum 'Li2 Ca4 Zr2'
_symmetry_space_group_name_H-M 'C 1 2/m 1'
_symmetry_Int_Tables_number 12
_symmetry_space_group_name_Hall '-C 2y'
_cell_length_a 11.4025
_cell_length_b 3.3832
_cell_length_c 6.3456
_cell_angle_alpha 90.00
_cell_angle_beta 101.50
_cell_angle_gamma 90.00
loop_
_atom_site_label
_atom_site_type_symbol
_atom_site_fract_x
_atom_site_fract_y
_atom_site_fract_z
Li1 Li 0.0000 0.0000 0.0000
Ca1 Ca 0.2429 0.5000 0.2538
Zr1 Zr 0.0000 0.5000 0.5000

=====

Record 7
# LiCa2Zr, relaxed, DFT PBE
# Fermi-level density of states	25.78	states/eV per cell
# calculated total energy	-3.13	eV per atom
# excess energy over the best structure of this formula in the dataset	246	meV/atom
# total moment	0.3	μB/f.u.
# ΔE_f	489	meV/atom
data_LiCa2Zr
_chemical_formula_sum 'Li4 Ca8 Zr4'
_symmetry_space_group_name_H-M 'F -4 3 m'
_symmetry_Int_Tables_number 216
_symmetry_space_group_name_Hall 'F -4 2 3'
_cell_length_a 7.7609
_cell_length_b 7.7609
_cell_length_c 7.7609
_cell_angle_alpha 90.00
_cell_angle_beta 90.00
_cell_angle_gamma 90.00
loop_
_atom_site_label
_atom_site_type_symbol
_atom_site_fract_x
_atom_site_fract_y
_atom_site_fract_z
Li1 Li 0.0000 0.0000 0.0000
Ca1 Ca 0.0000 0.0000 0.5000
Ca2 Ca 0.2500 0.2500 0.2500
Zr1 Zr 0.2500 0.2500 0.7500

=====

Record 8
# LiCa2Zr, relaxed, DFT PBE
# Fermi-level density of states	22.44	states/eV per cell
# calculated total energy	-3.14	eV per atom
# excess energy over the best structure of this formula in the dataset	237	meV/atom
# total moment	1.3	μB/f.u.
# ΔE_f	480	meV/atom
data_LiCa2Zr
_chemical_formula_sum 'Li4 Ca8 Zr4'
_symmetry_space_group_name_H-M 'F m -3 m'
_symmetry_Int_Tables_number 225
_symmetry_space_group_name_Hall '-F 4 2 3'
_cell_length_a 7.8822
_cell_length_b 7.8822
_cell_length_c 7.8822
_cell_angle_alpha 90.00
_cell_angle_beta 90.00
_cell_angle_gamma 90.00
loop_
_atom_site_label
_atom_site_type_symbol
_atom_site_fract_x
_atom_site_fract_y
_atom_site_fract_z
Li1 Li 0.0000 0.0000 0.0000
Ca1 Ca 0.2500 0.2500 0.2500
Zr1 Zr 0.0000 0.0000 0.5000

=====

Record 9
# LiCaZr, relaxed, DFT PBE
# Fermi-level density of states	7.47	states/eV per cell
# calculated total energy	-3.82	eV per atom
# excess energy over the best structure of this formula in the dataset	0	meV/atom
# total moment	0.0	μB/f.u.
# ΔE_f	330	meV/atom
data_LiCaZr
_chemical_formula_sum 'Li2 Ca2 Zr2'
_symmetry_space_group_name_H-M 'I 4 m m'
_symmetry_Int_Tables_number 107
_symmetry_space_group_name_Hall 'I 4 -2'
_cell_length_a 3.3170
_cell_length_b 3.3170
_cell_length_c 13.8601
_cell_angle_alpha 90.00
_cell_angle_beta 90.00
_cell_angle_gamma 90.00
loop_
_atom_site_label
_atom_site_type_symbol
_atom_site_fract_x
_atom_site_fract_y
_atom_site_fract_z
Li1 Li 0.0000 0.0000 0.0000
Ca1 Ca 0.0000 0.0000 0.6753
Zr1 Zr 0.0000 0.0000 0.3593

=====

Record 10
# LiCa2Zr, relaxed, DFT PBE
# Fermi-level density of states	10.93	states/eV per cell
# calculated total energy	-3.27	eV per atom
# excess energy over the best structure of this formula in the dataset	99	meV/atom
# total moment	1.5	μB/f.u.
# ΔE_f	342	meV/atom
data_LiCa2Zr
_chemical_formula_sum 'Li2 Ca4 Zr2'
_symmetry_space_group_name_H-M 'I m m 2'
_symmetry_Int_Tables_number 44
_symmetry_space_group_name_Hall 'I 2 -2'
_cell_length_a 3.5300
_cell_length_b 5.6869
_cell_length_c 11.6518
_cell_angle_alpha 90.00
_cell_angle_beta 90.00
_cell_angle_gamma 90.00
loop_
_atom_site_label
_atom_site_type_symbol
_atom_site_fract_x
_atom_site_fract_y
_atom_site_fract_z
Li1 Li 0.0000 0.0000 0.0000
Ca1 Ca 0.0000 0.0000 0.5174
Ca2 Ca 0.0000 0.5000 0.7369
Zr1 Zr 0.0000 0.5000 0.2887

=====

Record 11
# LiCa2Zr, relaxed, DFT PBE
# Fermi-level density of states	12.42	states/eV per cell
# calculated total energy	-3.15	eV per atom
# excess energy over the best structure of this formula in the dataset	221	meV/atom
# total moment	2.6	μB/f.u.
# ΔE_f	464	meV/atom
data_LiCa2Zr
_chemical_formula_sum 'Li2 Ca4 Zr2'
_symmetry_space_group_name_H-M 'I -4 m 2'
_symmetry_Int_Tables_number 119
_symmetry_space_group_name_Hall 'I -4 -2'
_cell_length_a 4.7768
_cell_length_b 4.7768
_cell_length_c 10.6555
_cell_angle_alpha 90.00
_cell_angle_beta 90.00
_cell_angle_gamma 90.00
loop_
_atom_site_label
_atom_site_type_symbol
_atom_site_fract_x
_atom_site_fract_y
_atom_site_fract_z
Li1 Li 0.0000 0.0000 0.0000
Ca1 Ca 0.0000 0.0000 0.5000
Ca2 Ca 0.0000 0.5000 0.2500
Zr1 Zr 0.0000 0.5000 0.7500

=====

Record 12
# LiCa2Zr, relaxed, DFT PBE
# Fermi-level density of states	6.09	states/eV per cell
# calculated total energy	-3.03	eV per atom
# excess energy over the best structure of this formula in the dataset	342	meV/atom
# total moment	1.0	μB/f.u.
# ΔE_f	585	meV/atom
data_LiCa2Zr
_chemical_formula_sum 'Li4 Ca8 Zr4'
_symmetry_space_group_name_H-M 'I -4 2 d'
_symmetry_Int_Tables_number 122
_symmetry_space_group_name_Hall 'I -4 2bw'
_cell_length_a 8.3995
_cell_length_b 8.3995
_cell_length_c 6.6079
_cell_angle_alpha 90.00
_cell_angle_beta 90.00
_cell_angle_gamma 90.00
loop_
_atom_site_label
_atom_site_type_symbol
_atom_site_fract_x
_atom_site_fract_y
_atom_site_fract_z
Li1 Li 0.0000 0.0000 0.0000
Ca1 Ca 0.2130 0.2500 0.1250
Zr1 Zr 0.0000 0.0000 0.5000

=====

Record 13
# LiCa2Zr, relaxed, DFT PBE
# Fermi-level density of states	9.17	states/eV per cell
# calculated total energy	-3.21	eV per atom
# excess energy over the best structure of this formula in the dataset	159	meV/atom
# total moment	2.2	μB/f.u.
# ΔE_f	402	meV/atom
data_LiCa2Zr
_chemical_formula_sum 'Li2 Ca4 Zr2'
_symmetry_space_group_name_H-M 'I m m m'
_symmetry_Int_Tables_number 71
_symmetry_space_group_name_Hall '-I 2 2'
_cell_length_a 3.6310
_cell_length_b 5.7902
_cell_length_c 11.0463
_cell_angle_alpha 90.00
_cell_angle_beta 90.00
_cell_angle_gamma 90.00
loop_
_atom_site_label
_atom_site_type_symbol
_atom_site_fract_x
_atom_site_fract_y
_atom_site_fract_z
Li1 Li 0.0000 0.0000 0.0000
Ca1 Ca 0.0000 0.5000 0.2759
Zr1 Zr 0.0000 0.0000 0.5000

=====

Record 14
# Ca5Lu, relaxed, DFT PBE
# Fermi-level density of states	16.97	states/eV per cell
# calculated total energy	-2.32	eV per atom
# total moment	0.0	μB/f.u.
# ΔE_f	104	meV/atom
data_Ca5Lu
_chemical_formula_sum 'Ca10 Lu2'
_symmetry_space_group_name_H-M 'C m m m'
_symmetry_Int_Tables_number 65
_symmetry_space_group_name_Hall '-C 2 2'
_cell_length_a 6.2171
_cell_length_b 18.7269
_cell_length_c 3.9941
_cell_angle_alpha 90.00
_cell_angle_beta 90.00
_cell_angle_gamma 90.00
loop_
_atom_site_label
_atom_site_type_symbol
_atom_site_fract_x
_atom_site_fract_y
_atom_site_fract_z
Ca1 Ca 0.0000 0.0000 0.0000
Ca2 Ca 0.0000 0.1689 0.5000
Ca3 Ca 0.0000 0.3427 0.0000
Lu1 Lu 0.0000 0.5000 0.5000

=====

Record 15
# Ca3Lu, relaxed, DFT PBE
# Fermi-level density of states	23.38	states/eV per cell
# calculated total energy	-2.48	eV per atom
# excess energy over the best structure of this formula in the dataset	16	meV/atom
# total moment	0.0	μB/f.u.
# ΔE_f	156	meV/atom
data_Ca3Lu
_chemical_formula_sum 'Ca12 Lu4'
_symmetry_space_group_name_H-M 'F m -3 m'
_symmetry_Int_Tables_number 225
_symmetry_space_group_name_Hall '-F 4 2 3'
_cell_length_a 8.4213
_cell_length_b 8.4213
_cell_length_c 8.4213
_cell_angle_alpha 90.00
_cell_angle_beta 90.00
_cell_angle_gamma 90.00
loop_
_atom_site_label
_atom_site_type_symbol
_atom_site_fract_x
_atom_site_fract_y
_atom_site_fract_z
Ca1 Ca 0.0000 0.0000 0.0000
Ca2 Ca 0.2500 0.2500 0.2500
Lu1 Lu 0.0000 0.0000 0.5000